[1]
First-principles (PBE-GGA) data for a relaxed structure of Rb3AlSe, as listed in Alexandria.

crystal system = cubic
uncorrected formation energy = -0.8 eV per formula unit
D(E_F) = 0.990 states/eV per atom
total energy = -2.178 eV per atom
relative energy among the computed polymorphs = 0.000 eV/atom

```
data_Rb3AlSe
_space_group_name_H-M_alt 'P m -3 m'
_space_group_IT_number 221
_space_group_name_Hall '-P 4 2 3'
_cell_length_a 6.617
_cell_length_b 6.617
_cell_length_c 6.617
_cell_angle_alpha 90.00
_cell_angle_beta 90.00
_cell_angle_gamma 90.00
loop_
_atom_site_label
_atom_site_type_symbol
_atom_site_fract_x
_atom_site_fract_y
_atom_site_fract_z
Rb1 Rb 0.000 0.000 0.500
Al1 Al 0.500 0.500 0.500
Se1 Se 0.000 0.000 0.000
```

=====

[2]
First-principles (PBE-GGA) data for a relaxed structure of Rb2AlSiSe4, as listed in Alexandria.

crystal system = orthorhombic
uncorrected formation energy = -6.8 eV per formula unit
D(E_F) = 0.557 states/eV per atom
total energy = -3.981 eV per atom

```
data_Rb2AlSiSe4
_space_group_name_H-M_alt 'F d d d'
_space_group_IT_number 70
_cell_length_a 6.149
_cell_length_b 14.360
_cell_length_c 24.589
_cell_angle_alpha 90.00
_cell_angle_beta 90.00
_cell_angle_gamma 90.00
loop_
_space_group_symop_operation_xyz
'x,y,z'
'-x,-y,-z'
'-x+1/4,-y+1/4,z'
'x+1/4,y+1/4,-z'
'x,-y+1/4,-z+1/4'
'-x,y+1/4,z+1/4'
'-x+1/4,y,-z+1/4'
'x+1/4,-y,z+1/4'
'x,y+1/2,z+1/2'
'-x,-y+1/2,-z+1/2'
'-x+1/4,-y+3/4,z+1/2'
'x+1/4,y+3/4,-z+1/2'
'x,-y+3/4,-z+3/4'
'-x,y+3/4,z+3/4'
'-x+1/4,y+1/2,-z+3/4'
'x+1/4,-y+1/2,z+3/4'
'x+1/2,y,z+1/2'
'-x+1/2,-y,-z+1/2'
'-x+3/4,-y+1/4,z+1/2'
'x+3/4,y+1/4,-z+1/2'
'x+1/2,-y+1/4,-z+3/4'
'-x+1/2,y+1/4,z+3/4'
'-x+3/4,y,-z+3/4'
'x+3/4,-y,z+3/4'
'x+1/2,y+1/2,z'
'-x+1/2,-y+1/2,-z'
'-x+3/4,-y+3/4,z'
'x+3/4,y+3/4,-z'
'x+1/2,-y+3/4,-z+1/4'
'-x+1/2,y+3/4,z+1/4'
'-x+3/4,y+1/2,-z+1/4'
'x+3/4,-y+1/2,z+1/4'
loop_
_atom_site_label
_atom_site_type_symbol
_atom_site_fract_x
_atom_site_fract_y
_atom_site_fract_z
Rb1 Rb 0.125 0.125 0.305
Al1 Al 0.125 0.125 0.125
Si1 Si 0.125 0.125 0.625
Se1 Se 0.120 0.281 0.428
```

=====

[3]
First-principles (PBE-GGA) data for a relaxed structure of Rb2AlSnSe4, as listed in Alexandria.

crystal system = orthorhombic
uncorrected formation energy = -7.1 eV per formula unit
D(E_F) = 0.762 states/eV per atom
total energy = -3.840 eV per atom

```
data_Rb2AlSnSe4
_space_group_name_H-M_alt 'F d d d'
_space_group_IT_number 70
_cell_length_a 6.633
_cell_length_b 14.779
_cell_length_c 23.866
_cell_angle_alpha 90.00
_cell_angle_beta 90.00
_cell_angle_gamma 90.00
loop_
_space_group_symop_operation_xyz
'x,y,z'
'-x,-y,-z'
'-x+1/4,-y+1/4,z'
'x+1/4,y+1/4,-z'
'x,-y+1/4,-z+1/4'
'-x,y+1/4,z+1/4'
'-x+1/4,y,-z+1/4'
'x+1/4,-y,z+1/4'
'x,y+1/2,z+1/2'
'-x,-y+1/2,-z+1/2'
'-x+1/4,-y+3/4,z+1/2'
'x+1/4,y+3/4,-z+1/2'
'x,-y+3/4,-z+3/4'
'-x,y+3/4,z+3/4'
'-x+1/4,y+1/2,-z+3/4'
'x+1/4,-y+1/2,z+3/4'
'x+1/2,y,z+1/2'
'-x+1/2,-y,-z+1/2'
'-x+3/4,-y+1/4,z+1/2'
'x+3/4,y+1/4,-z+1/2'
'x+1/2,-y+1/4,-z+3/4'
'-x+1/2,y+1/4,z+3/4'
'-x+3/4,y,-z+3/4'
'x+3/4,-y,z+3/4'
'x+1/2,y+1/2,z'
'-x+1/2,-y+1/2,-z'
'-x+3/4,-y+3/4,z'
'x+3/4,y+3/4,-z'
'x+1/2,-y+3/4,-z+1/4'
'-x+1/2,y+3/4,z+1/4'
'-x+3/4,y+1/2,-z+1/4'
'x+3/4,-y+1/2,z+1/4'
loop_
_atom_site_label
_atom_site_type_symbol
_atom_site_fract_x
_atom_site_fract_y
_atom_site_fract_z
Rb1 Rb 0.125 0.125 0.307
Al1 Al 0.125 0.125 0.125
Sn1 Sn 0.125 0.125 0.625
Se1 Se 0.090 0.278 0.431
```

=====

[4]
First-principles (PBE-GGA) data for a relaxed structure of RbSrAlSe3, as listed in Alexandria.

crystal system = monoclinic
uncorrected formation energy = -7.1 eV per formula unit
total energy = -3.986 eV per atom

```
data_RbSrAlSe3
_space_group_name_H-M_alt 'C 1 2/m 1'
_space_group_IT_number 12
_cell_length_a 16.662
_cell_length_b 5.154
_cell_length_c 9.174
_cell_angle_alpha 90.00
_cell_angle_beta 104.48
_cell_angle_gamma 90.00
loop_
_space_group_symop_operation_xyz
'x,y,z'
'-x,-y,-z'
'-x,y,-z'
'x,-y,z'
'x+1/2,y+1/2,z'
'-x+1/2,-y+1/2,-z'
'-x+1/2,y+1/2,-z'
'x+1/2,-y+1/2,z'
loop_
_atom_site_label
_atom_site_type_symbol
_atom_site_fract_x
_atom_site_fract_y
_atom_site_fract_z
Rb1 Rb 0.149 0.000 0.065
Sr1 Sr 0.146 0.000 0.568
Al1 Al 0.009 0.500 0.279
Se1 Se 0.002 0.000 0.277
Se2 Se 0.140 0.500 0.780
Se3 Se 0.158 0.500 0.346
```

=====

no.,volume (Å³ per cell)
1,289.7
2,2171.2
3,2339.6
4,762.8